1.
12
Lattice="4.421 -3.701 0.000 4.421 3.701 0.000 0.000 0.000 5.084" Properties=species:S:1:pos:R:3 comment="LiFe2Si3 (GGA-PBE, relaxed)" raw_formation_energy_ev_per_atom=-0.257 energy_ev_per_atom=-6.11 crystal_system=orthorhombic dos_at_fermi_per_ev_cell=7.0 pbc="T T T"
Li 4.421 2.899 3.813
Li 4.421 -2.899 1.271
Fe 2.546 0.000 0.000
Fe 2.546 0.000 2.542
Fe 6.295 0.000 0.000
Fe 6.295 0.000 2.542
Si 2.652 1.984 1.271
Si 6.190 1.984 1.271
Si 4.421 0.251 1.271
Si 4.421 -0.251 3.813
Si 2.652 -1.984 3.813
Si 6.190 -1.984 3.813

***

2.
8
Lattice="7.340 0.000 0.000 0.000 4.238 0.000 -2.433 0.000 7.107" Properties=species:S:1:pos:R:3 comment="Na2PrThSe4 (GGA-PBE, relaxed)" raw_formation_energy_ev_per_atom=-1.579 energy_ev_per_atom=-5.18 crystal_system=monoclinic dos_at_fermi_per_ev_cell=4.0 pbc="T T T"
Na 0.000 0.000 0.000
Na 3.670 2.119 0.000
Pr -1.217 2.119 3.553
Th 2.454 0.000 3.553
Se 0.059 0.000 5.273
Se 1.267 2.119 1.841
Se 3.640 2.119 5.266
Se 4.848 0.000 1.834

***

3.
8
Lattice="4.107 0.000 0.000 0.000 4.107 0.000 0.000 0.000 11.051" Properties=species:S:1:pos:R:3 comment="Zr6AlSi (GGA-PBE, relaxed)" raw_formation_energy_ev_per_atom=0.440 energy_ev_per_atom=-7.12 polymorph_energy_mev_per_atom=243.7 crystal_system=tetragonal dos_at_fermi_per_ev_cell=7.1 pbc="T T T"
Zr 0.000 0.000 1.238
Zr 0.000 0.000 9.812
Zr 0.000 2.053 3.594
Zr 0.000 2.053 7.457
Zr 2.053 0.000 3.594
Zr 2.053 0.000 7.457
Al 2.053 2.053 5.525
Si 2.053 2.053 0.000

***

4.
4
Lattice="-1.539 1.866 10.276 1.539 -1.866 10.276 1.539 1.866 -10.276" Properties=species:S:1:pos:R:3 comment="K2CoMo (GGA-PBE, relaxed)" energy_ev_per_atom=-4.21 polymorph_energy_mev_per_atom=15.4 crystal_system=orthorhombic ef_mev_per_atom=818 dos_at_fermi_per_ev_cell=2.8 pbc="T T T"
K 0.000 0.000 3.008
K 0.000 0.000 17.544
Co 1.539 0.000 0.000
Mo 0.000 1.866 0.000